Computed, not measured: a relaxed structure of LiZr2Br8 at the PBE level of DFT.

The calculation puts the uncorrected formation energy at -1.2107 eV/atom. Its energy above the most stable polymorph in this dataset is 0.0422 eV per atom. As for the density: 3.74 Mg/m³.

It has space group P-1 (No. 2), with a = 5.491 Å, b = 8.785 Å, c = 8.795 Å, α = 60.08°, β = 89.99° and γ = 90.00°. Symmetry generates all atoms from Li at (0.000, 0.000, 0.000), Zr at (0.228, 0.667, 0.667), Br at (0.250, 0.332, 0.835), Br at (0.250, 0.833, 0.333), Br at (0.250, 0.835, 0.833) and Br at (0.260, 0.333, 0.333).

Computed, not measured: a relaxed structure of Ac4IrPbI2 at the PBE level of DFT.

The calculation puts the uncorrected formation energy at -0.8948 eV/atom. As for the density: 8.09 Mg/m³.

It has space group P2/m (No. 10), with a = 8.371 Å, b = 4.541 Å, c = 8.811 Å, α = 90.00°, β = 106.80° and γ = 90.00°. Symmetry generates all atoms from Ac at (0.205, 0.000, 0.188), Ac at (0.230, 0.500, 0.803), Ir at (0.000, 0.500, 0.000), Pb at (0.500, 0.000, 0.000), I at (0.000, 0.000, 0.500) and I at (0.500, 0.500, 0.500).

Computed, not measured: a relaxed structure of CoPd2PtCl at the PBE level of DFT.

The calculation puts the uncorrected formation energy at 0.9830 eV/atom. As for the density: 7.25 Mg/m³.

It has space group P4/mmm (No. 123), with a = 4.975 Å, b = 4.975 Å, c = 4.646 Å, α = 90.00°, β = 90.00° and γ = 90.00°. Symmetry generates all atoms from Co at (0.000, 0.000, 0.000), Pd at (0.000, 0.500, 0.500), Pt at (0.000, 0.000, 0.500) and Cl at (0.500, 0.500, 0.000).

Computed, not measured: a relaxed structure of LaThCo at the PBE level of DFT.

As for the formation enthalpy at 0 K: -138 meV/atom. Its energy above the most stable polymorph in this dataset is 0.0000 eV per atom. As for the density: 8.61 Mg/m³.

It has space group P2_1/m (No. 11), with a = 6.310 Å, b = 3.972 Å, c = 7.131 Å, α = 90.00°, β = 111.96° and γ = 90.00°. Symmetry generates all atoms from La at (0.046, 0.250, 0.285), Th at (0.497, 0.250, 0.787) and Co at (0.368, 0.750, 0.536).

Computed, not measured: a relaxed structure of LiTi2AlO6 at the PBE level of DFT.

The calculation puts the uncorrected formation energy at -2.3519 eV/atom. As for the density: 3.48 Mg/m³.

It has space group P4mm (No. 99), with a = 4.727 Å, b = 4.727 Å, c = 4.818 Å, α = 90.00°, β = 90.00° and γ = 90.00°. Symmetry generates all atoms from Li at (0.000, 0.000, 0.000), Ti at (0.000, 0.500, 0.401), Al at (0.500, 0.500, 0.026), O at (0.000, 0.000, 0.611), O at (0.255, 0.255, 0.192) and O at (0.500, 0.500, 0.660).

Computed, not measured: a relaxed structure of TaTi4Rh at the PBE level of DFT.

As for the formation enthalpy at 0 K: -176 meV/atom. Its energy above the most stable polymorph in this dataset is 0.0000 eV per atom. As for the density: 7.72 Mg/m³.

It has space group P-1 (No. 2), with a = 5.152 Å, b = 6.863 Å, c = 6.968 Å, α = 119.46°, β = 99.83° and γ = 97.77°. Symmetry generates all atoms from Ta at (0.162, 0.412, 0.122), Ti at (0.039, 0.936, 0.785), Ti at (0.275, 0.346, 0.718), Ti at (0.405, 0.829, 0.065), Ti at (0.426, 0.689, 0.623) and Rh at (0.222, 0.888, 0.414).

Computed, not measured: a relaxed structure of PrY2Tm8 at the PBE level of DFT.

As for the formation enthalpy at 0 K: 109 meV/atom. Its energy above the most stable polymorph in this dataset is 0.0000 eV per atom. As for the density: 8.03 Mg/m³.

It has space group C2/m (No. 12), with a = 17.221 Å, b = 5.396 Å, c = 8.282 Å, α = 90.00°, β = 116.12° and γ = 90.00°. Symmetry generates all atoms from Pr at (0.000, 0.000, 0.000), Y at (0.203, 0.500, 0.656), Tm at (0.020, 0.500, 0.722), Tm at (0.116, 0.000, 0.444), Tm at (0.159, 0.500, 0.196) and Tm at (0.167, 0.000, 0.894).

Computed, not measured: a relaxed structure of SmBeCu4 at the PBE level of DFT.

As for the formation enthalpy at 0 K: -30 meV/atom. Its energy above the most stable polymorph in this dataset is 0.1078 eV per atom. As for the density: 7.74 Mg/m³.

It has space group F-43m (No. 216), with a = 7.081 Å, b = 7.081 Å, c = 7.081 Å, α = 90.00°, β = 90.00° and γ = 90.00°. Symmetry generates all atoms from Sm at (0.000, 0.000, 0.000), Be at (0.250, 0.250, 0.750) and Cu at (0.123, 0.123, 0.377).

Computed, not measured: a relaxed structure of Zr2InGa2 at the PBE level of DFT.

As for the formation enthalpy at 0 K: -221 meV/atom. Its energy above the most stable polymorph in this dataset is 0.2556 eV per atom. As for the density: 6.81 Mg/m³.

It has space group P4/mbm (No. 127), with a = 8.033 Å, b = 8.033 Å, c = 3.299 Å, α = 90.00°, β = 90.00° and γ = 90.00°. Symmetry generates all atoms from Zr at (0.133, 0.367, 0.000), In at (0.000, 0.000, 0.000) and Ga at (0.170, 0.670, 0.500).

Computed, not measured: a relaxed structure of CeZrNpN3 at the PBE level of DFT.

The calculation puts the uncorrected formation energy at -1.1639 eV/atom. As for the density: 9.41 Mg/m³.

It has space group P2_1/m (No. 11), with a = 6.965 Å, b = 3.271 Å, c = 7.910 Å, α = 90.00°, β = 91.98° and γ = 90.00°. Symmetry generates all atoms from Ce at (0.138, 0.250, 0.163), Zr at (0.381, 0.750, 0.846), Np at (0.130, 0.250, 0.536), N at (0.141, 0.250, 0.851), N at (0.320, 0.750, 0.582) and N at (0.392, 0.750, 0.131).

Computed, not measured: a relaxed structure of Sr2Al12Ir7 at the PBE level of DFT.

As for the formation enthalpy at 0 K: -760 meV/atom. As for the density: 8.59 Mg/m³.

It has space group P-6 (No. 174), with a = 9.9720 Å, b = 9.9720 Å, c = 4.1402 Å, α = 90.00°, β = 90.00° and γ = 120.00°. Symmetry generates all atoms from Sr at (0.0000, 0.0000, 0.0000), Sr at (0.3333, 0.6667, 0.5000), Al at (0.0139, 0.7357, 0.5000), Al at (0.1593, 0.3945, 0.0000), Al at (0.3816, 0.1698, 0.0000), Al at (0.5567, 0.1411, 0.5000), Ir at (0.0171, 0.5612, 0.0000), Ir at (0.2661, 0.0054, 0.5000) and Ir at (0.6667, 0.3333, 0.0000).

Computed, not measured: a relaxed structure of NiBr at the PBE level of DFT.

The calculation puts the uncorrected formation energy at 0.0330 eV/atom. As for the density: 5.19 Mg/m³.

It has space group P4_2/mnm (No. 136), with a = 6.876 Å, b = 6.876 Å, c = 3.753 Å, α = 90.00°, β = 90.00° and γ = 90.00°. Symmetry generates all atoms from Ni at (0.122, 0.122, 0.000) and Br at (0.217, 0.783, 0.000).

no.,volume (Å³ per cell),DFT total energy (eV for the cell shown)
1,368,-45.71
2,321,-39.26
3,115,-20.46
4,166,-39.74
5,108,-74.71
6,204,-103.68
7,691,-104.56
8,355,-100.03
9,213,-53.99
10,180,-118.76
11,357,-126.26
12,177,-29.55